Li2YP: optimized geometry, PBE.

Values from the calculation:
DOS at the Fermi energy, states/eV per atom: 0.204
Theoretical density, g/cm3: 2.64
E, eV per atom: -4.41
Total magnetization, Bohr magnetons per cell: 0.0
Crystal system: tetragonal

a b c (Å): 3.640 3.640 6.339
angles (deg): 90.00 90.00 90.00
Positions (direct):
Li 0.000 0.000 0.000
Li 0.500 0.500 0.173
Y 0.500 0.500 0.614
P 0.000 0.000 0.428